1.
HfNi7Ge2P2 PBE-GGA optimized geometry; energy of formation = -0.244 eV per atom; space-group type = C2/m; total DFT energy (no corrections) = -73.4 eV per formula unit
1.0
3.757 0.011 0.118
0.015 3.757 0.118
2.225 2.222 11.525
Ge Ni Hf P
2 7 1 2
Cartesian
2.429 2.426 7.673 Ge
3.568 3.563 4.088 Ge
2.301 4.157 9.688 Ni
3.696 1.833 2.073 Ni
3.975 3.970 6.332 Ni
2.022 2.019 5.429 Ni
1.886 1.884 0.118 Ni
4.160 2.295 9.688 Ni
1.837 3.694 2.073 Ni
0.000 0.000 0.000 Hf
4.229 4.224 8.478 P
1.767 1.765 3.283 P

2.
HfNiGePd PBE-GGA optimized geometry; energy of formation = -0.523 eV per atom; space-group type = F-43m; total DFT energy (no corrections) = -27.6 eV per formula unit
1.0
4.440 0.000 0.000
2.220 3.845 0.000
2.220 1.282 3.625
Hf Ni Ge Pd
1 1 1 1
Cartesian
6.660 3.845 2.719 Hf
0.000 0.000 0.000 Ni
2.220 1.282 0.906 Ge
4.440 2.563 1.813 Pd

3.
Hf2NiGePd PBE-GGA optimized geometry; energy of formation = 0.309 eV per atom; space-group type = P4/mmm; total DFT energy (no corrections) = -34.0 eV per formula unit
1.0
-4.107 2.433 1.331
-2.317 -2.679 -2.254
-0.457 -2.939 3.963
Ni Ge Pd Hf
1 1 1 2
Cartesian
-1.159 -1.339 -1.127 Ni
0.000 0.000 0.000 Ge
-3.441 -1.593 1.520 Pd
-0.228 -1.470 1.982 Hf
-2.053 1.216 0.665 Hf

Which value of energy of formation does entry 2 give? -0.523 eV per atom